Record 1
Computed, not measured: an optimized crystal structure of AlV2Br2 at the PBE level of DFT.

Structure (POSCAR):
```
AlV2Br2
1.0
-2.330 2.330 4.896
2.330 -2.330 4.896
2.330 2.330 -4.896
Al V Br
1 2 2
direct
0.000 0.000 0.000
0.407 0.407 0.000
0.593 0.593 0.000
0.250 0.750 0.500
0.750 0.250 0.500
```

Output
Offset from the most stable computed form in eV per atom: 0.082

Record 2
Computed, not measured: an optimized crystal structure of SmDy3Y6Th2 at the PBE level of DFT.

Structure (POSCAR):
```
SmDy3Y6Th2
1.0
3.100 -5.365 0.000
3.100 5.365 0.000
-2.070 0.000 11.608
Sm Dy Y Th
1 3 6 2
direct
0.000 0.000 0.000
0.166 0.834 0.500
0.500 0.500 0.500
0.834 0.166 0.500
0.083 0.421 0.248
0.254 0.254 0.751
0.421 0.083 0.248
0.579 0.917 0.752
0.746 0.746 0.249
0.917 0.579 0.752
0.333 0.667 0.000
0.667 0.333 0.000
```

Output
Energy of formation in eV/atom: 0.030

Record 3
Computed, not measured: an optimized crystal structure of TlNi2Rh at the PBE level of DFT.

Structure (POSCAR):
```
TlNi2Rh
1.0
-1.971 1.971 3.763
1.971 -1.971 3.763
1.971 1.971 -3.763
Tl Ni Rh
1 2 1
direct
0.000 0.000 0.000
0.250 0.750 0.500
0.500 0.500 0.000
0.750 0.250 0.500
```

Output
Energy of formation in eV/atom: 0.196
Offset from the most stable computed form in eV per atom: 0.000

Record 4
Computed, not measured: an optimized crystal structure of La2PmNdIn2 at the PBE level of DFT.

Structure (POSCAR):
```
La2PmNdIn2
1.0
5.289 0.000 0.000
0.000 10.428 0.000
0.000 0.000 6.905
La Pm Nd In
4 2 2 4
direct
0.000 0.054 0.000
0.000 0.946 0.500
0.500 0.178 0.228
0.500 0.822 0.728
0.000 0.313 0.606
0.000 0.687 0.106
0.500 0.459 0.875
0.500 0.541 0.375
0.000 0.375 0.136
0.000 0.625 0.636
0.500 0.144 0.715
0.500 0.856 0.215
```

Output
Energy of formation in eV/atom: -0.360

Record 5
Computed, not measured: an optimized crystal structure of UCo2Se6 at the PBE level of DFT.

Structure (POSCAR):
```
UCo2Se6
1.0
6.250 -2.303 0.000
6.250 2.303 0.000
-4.495 0.000 6.892
U Co Se
1 2 6
direct
0.000 0.000 0.000
0.170 0.170 0.578
0.830 0.830 0.422
0.037 0.037 0.703
0.260 0.260 0.386
0.345 0.345 0.916
0.655 0.655 0.084
0.740 0.740 0.614
0.963 0.963 0.297
```

Output
Uncorrected energy in eV/cell: -50.41

Record 6
Computed, not measured: an optimized crystal structure of Sr2MgBr at the PBE level of DFT.

Structure (POSCAR):
```
Sr2MgBr
1.0
4.129 0.000 0.000
0.000 6.245 0.000
-0.001 0.000 6.245
Sr Mg Br
2 1 1
direct
0.000 0.000 0.000
0.001 0.500 0.499
0.501 0.500 0.999
0.002 0.000 0.500
```

Output
Offset from the most stable computed form in eV per atom: 0.057

DOS(E_F), record by record: 2.68 17.40 5.29 14.01 5.43 3.22 states/eV/cell